Record 1
Compound: Pm2SmTmSe4
Source: the Alexandria database
Functional: GGA-PBE
Structure: relaxed

Lattice parameters (Å, degrees): 4.0826 7.1700 7.2764 108.68 90.00 90.00
Closest atoms and distances in Å follow each position.
Positions (direct):
Pm  0.5000  0.0000  0.5000  6 Se 2.94-2.95
Pm  0.0000  0.5000  0.5000  6 Se 3.01
Sm  0.5000  0.5000  0.0000  6 Se 2.92-2.93
Tm  0.0000  0.0000  0.0000  6 Se 2.86
Se  0.5000  0.2387  0.2372  2 Tm 2.86, 1 Sm 2.93, 3 Pm 2.95-3.01
Se  0.5000  0.7613  0.7628  2 Tm 2.86, 1 Sm 2.93, 3 Pm 2.95-3.01
Se  0.0000  0.2455  0.7577  1 Tm 2.86, 2 Sm 2.92, 3 Pm 2.94-3.01
Se  0.0000  0.7545  0.2423  1 Tm 2.86, 2 Sm 2.92, 3 Pm 2.94-3.01

## Properties
Volume: 202 Å³/f.u.
Calculated total energy: -46.9 eV for the cell shown
Formation energy without anion corrections: -14.28 eV/f.u.

=====

Record 2
Compound: PmSmTm2Se6
Source: the Alexandria database
Functional: GGA-PBE
Structure: relaxed

Lattice parameters (Å, degrees): 7.2612 7.2612 7.7077 61.90 61.90 60.00
Closest atoms and distances in Å follow each position.
Positions (direct):
Pm  0.8133  0.8133  0.5600  6 Se 2.92-3.00
Sm  0.3143  0.3143  0.0570  6 Se 2.91-2.98
Tm  0.5130  0.5129  0.4612  6 Se 2.81-2.86
Tm  0.0123  0.0124  0.9629  6 Se 2.81-2.86
Se  0.6245  0.2306  0.2457  2 Tm 2.81-2.86, 1 Sm 2.91, 1 Pm 3.00
Se  0.2306  0.8992  0.2457  2 Tm 2.81-2.86, 1 Sm 2.91, 1 Pm 3.00
Se  0.8992  0.6245  0.2458  2 Tm 2.81-2.86, 1 Sm 2.91, 1 Pm 3.00
Se  0.3964  0.7307  0.7456  2 Tm 2.81-2.86, 1 Pm 2.92, 1 Sm 2.98
Se  0.7307  0.1272  0.7456  2 Tm 2.81-2.86, 1 Pm 2.92, 1 Sm 2.98
Se  0.1272  0.3965  0.7456  2 Tm 2.81-2.86, 1 Pm 2.92, 1 Sm 2.98

## Properties
Volume: 295 Å³/f.u.
Calculated total energy: -57.7 eV for the cell shown
Formation energy without anion corrections: -18.40 eV/f.u.

=====

Record 3
Compound: Pm2SmTm3Se6
Source: the Alexandria database
Functional: GGA-PBE
Structure: relaxed

Lattice parameters (Å, degrees): 4.0497 8.3288 9.2387 104.97 102.66 90.00
Closest atoms and distances in Å follow each position.
Positions (direct):
Pm  0.8331  0.6666  0.6663  6 Se 2.97-2.98
Pm  0.1669  0.3334  0.3337  6 Se 2.97-2.98
Sm  0.5000  0.0000  0.0000  6 Se 2.96-2.97
Tm  0.5000  0.5000  0.0000  6 Se 2.83-2.84
Tm  0.8329  0.1670  0.6658  6 Se 2.83-2.84
Tm  0.1671  0.8330  0.3342  6 Se 2.83-2.84
Se  0.3302  0.9272  0.6603  3 Tm 2.83-2.84, 1 Sm 2.96, 2 Pm 2.98
Se  0.6627  0.5929  0.3255  3 Tm 2.83, 3 Pm 2.97-2.98
Se  0.6698  0.0728  0.3397  3 Tm 2.83-2.84, 1 Sm 2.96, 2 Pm 2.98
Se  0.9961  0.2584  0.9921  3 Tm 2.84, 2 Sm 2.97, 1 Pm 2.98
Se  0.0039  0.7416  0.0079  3 Tm 2.84, 2 Sm 2.97, 1 Pm 2.98
Se  0.3373  0.4071  0.6745  3 Tm 2.83, 3 Pm 2.97-2.98

## Properties
Volume: 293 Å³/f.u.
Calculated total energy: -69.6 eV for the cell shown
Formation energy without anion corrections: -21.03 eV/f.u.

=====

Spin magnetization readings, ordered: 0.0, 0.0, 0.0 μB/cell